*1*
## ZnFeSn2Se (GGA-PBE)

Data for a relaxed structure of ZnFeSn2Se.

Results
- D(E_F): 1.83 states/eV/atom
- SG: No. 123

Unit cell a=5.178 b=5.178 c=4.817 alpha=90.00 beta=90.00 gamma=90.00
Atoms (fractional coordinates):
Zn (0.000, 0.000, 0.000)
Fe (0.500, 0.500, 0.500)
Sn (0.000, 0.500, 0.000)
Sn (0.500, 0.000, 0.000)
Se (0.000, 0.000, 0.500)

***

*2*
## ZnFeSn2Se (GGA-PBE)

Data for a relaxed structure of ZnFeSn2Se.

Results
- D(E_F): 0.85 states/eV/atom
- SG: No. 123

Unit cell a=5.554 b=5.554 c=4.608 alpha=90.00 beta=90.00 gamma=90.00
Atoms (fractional coordinates):
Zn (0.000, 0.000, 0.000)
Fe (0.500, 0.500, 0.000)
Sn (0.000, 0.500, 0.500)
Sn (0.500, 0.000, 0.500)
Se (0.000, 0.000, 0.500)

***

Which is the most stable structure? *1* is the most stable.

***

*1*
## TaFe3Se (GGA-PBE)

Data for a relaxed structure of TaFe3Se.

Results
- D(E_F): 0.53 states/eV/atom
- SG: No. 221

Unit cell a=4.584 b=4.584 c=4.584 alpha=90.00 beta=90.00 gamma=90.00
Atoms (fractional coordinates):
Ta (0.000, 0.000, 0.000)
Fe (0.000, 0.000, 0.500)
Fe (0.000, 0.500, 0.000)
Fe (0.500, 0.000, 0.000)
Se (0.500, 0.500, 0.500)

***

*2*
## TaFe3Se (GGA-PBE)

Data for a relaxed structure of TaFe3Se.

Results
- D(E_F): 0.82 states/eV/atom
- SG: No. 221

Unit cell a=4.275 b=4.275 c=4.275 alpha=90.00 beta=90.00 gamma=90.00
Atoms (fractional coordinates):
Ta (0.000, 0.000, 0.000)
Fe (0.000, 0.500, 0.500)
Fe (0.500, 0.000, 0.500)
Fe (0.500, 0.500, 0.000)
Se (0.500, 0.500, 0.500)

***

Which is the most stable structure? *2* is the most stable.

***

*1*
## Ta3FeSe (GGA-PBE)

Data for a relaxed structure of Ta3FeSe.

Results
- D(E_F): 1.38 states/eV/atom
- SG: No. 221

Unit cell a=4.614 b=4.614 c=4.614 alpha=90.00 beta=90.00 gamma=90.00
Atoms (fractional coordinates):
Ta (0.000, 0.000, 0.500)
Ta (0.000, 0.500, 0.000)
Ta (0.500, 0.000, 0.000)
Fe (0.000, 0.000, 0.000)
Se (0.500, 0.500, 0.500)

***

*2*
## Ta3FeSe (GGA-PBE)

Data for a relaxed structure of Ta3FeSe.

Results
- D(E_F): 1.30 states/eV/atom
- SG: No. 221

Unit cell a=4.657 b=4.657 c=4.657 alpha=90.00 beta=90.00 gamma=90.00
Atoms (fractional coordinates):
Ta (0.000, 0.000, 0.500)
Ta (0.000, 0.500, 0.000)
Ta (0.500, 0.000, 0.000)
Fe (0.500, 0.500, 0.500)
Se (0.000, 0.000, 0.000)

***

Which is the most stable structure? *1* is the most stable.

***

*1*
## Fe3TcSe (GGA-PBE)

Data for a relaxed structure of Fe3TcSe.

Results
- D(E_F): 1.56 states/eV/atom
- SG: No. 221

Unit cell a=4.519 b=4.519 c=4.519 alpha=90.00 beta=90.00 gamma=90.00
Atoms (fractional coordinates):
Fe (0.000, 0.000, 0.500)
Fe (0.000, 0.500, 0.000)
Fe (0.500, 0.000, 0.000)
Tc (0.000, 0.000, 0.000)
Se (0.500, 0.500, 0.500)

***

*2*
## Fe3TcSe (GGA-PBE)

Data for a relaxed structure of Fe3TcSe.

Results
- D(E_F): 3.09 states/eV/atom
- SG: No. 221

Unit cell a=4.205 b=4.205 c=4.205 alpha=90.00 beta=90.00 gamma=90.00
Atoms (fractional coordinates):
Fe (0.000, 0.000, 0.500)
Fe (0.000, 0.500, 0.000)
Fe (0.500, 0.000, 0.000)
Tc (0.500, 0.500, 0.500)
Se (0.000, 0.000, 0.000)

***

Which is the most stable structure? *2* is the most stable.

***

*1*
## Ti3FeSe (GGA-PBE)

Data for a relaxed structure of Ti3FeSe.

Results
- D(E_F): 1.16 states/eV/atom
- SG: No. 221

Unit cell a=4.628 b=4.628 c=4.628 alpha=90.00 beta=90.00 gamma=90.00
Atoms (fractional coordinates):
Ti (0.000, 0.000, 0.500)
Ti (0.000, 0.500, 0.000)
Ti (0.500, 0.000, 0.000)
Fe (0.500, 0.500, 0.500)
Se (0.000, 0.000, 0.000)

***

*2*
## Ti3FeSe (GGA-PBE)

Data for a relaxed structure of Ti3FeSe.

Results
- D(E_F): 0.69 states/eV/atom
- SG: No. 221

Unit cell a=4.492 b=4.492 c=4.492 alpha=90.00 beta=90.00 gamma=90.00
Atoms (fractional coordinates):
Ti (0.000, 0.000, 0.500)
Ti (0.000, 0.500, 0.000)
Ti (0.500, 0.000, 0.000)
Fe (0.000, 0.000, 0.000)
Se (0.500, 0.500, 0.500)

***

Which is the most stable structure? *2* is the most stable.

***

*1*
## TlFe2Se (GGA-PBE)

Data for a relaxed structure of TlFe2Se.

Results
- D(E_F): 0.63 states/eV/atom
- SG: No. 25

Unit cell a=3.182 b=3.716 c=6.817 alpha=90.00 beta=90.00 gamma=90.00
Atoms (fractional coordinates):
Tl (0.000, 0.000, 0.000)
Fe (0.000, 0.500, 0.673)
Fe (0.500, 0.000, 0.643)
Se (0.500, 0.500, 0.414)

***

*2*
## TlFe2Se (GGA-PBE)

Data for a relaxed structure of TlFe2Se.

Results
- D(E_F): 1.12 states/eV/atom
- SG: No. 119

Unit cell a=5.504 b=5.504 c=5.504 alpha=139.28 beta=139.28 gamma=58.94
Atoms (fractional coordinates):
Tl (0.000, 0.000, 0.000)
Fe (0.250, 0.750, 0.500)
Fe (0.500, 0.500, 0.000)
Se (0.750, 0.250, 0.500)

***

*3*
## TlFe2Se (GGA-PBE)

Data for a relaxed structure of TlFe2Se.

Results
- D(E_F): 0.76 states/eV/atom
- SG: No. 123

Unit cell a=4.534 b=4.534 c=3.361 alpha=90.00 beta=90.00 gamma=90.00
Atoms (fractional coordinates):
Tl (0.000, 0.000, 0.000)
Fe (0.000, 0.500, 0.500)
Fe (0.500, 0.000, 0.500)
Se (0.500, 0.500, 0.000)

***

*4*
## TlFe2Se (GGA-PBE)

Data for a relaxed structure of TlFe2Se.

Results
- D(E_F): 0.98 states/eV/atom
- SG: No. 71

Unit cell a=5.134 b=5.134 c=5.134 alpha=141.24 beta=115.77 gamma=77.61
Atoms (fractional coordinates):
Tl (0.000, 0.000, 0.000)
Fe (0.284, 0.784, 0.500)
Fe (0.716, 0.216, 0.500)
Se (0.500, 0.500, 0.000)

***

Which is the most stable structure? *1* is the most stable.

***

*1*
## TlFe2Se (GGA-PBE)

Data for a relaxed structure of TlFe2Se.

Results
- D(E_F): 0.75 states/eV/atom
- SG: No. 8

Unit cell a=4.259 b=4.259 c=6.403 alpha=102.72 beta=102.72 gamma=45.43
Atoms (fractional coordinates):
Tl (0.000, 0.000, 0.000)
Fe (0.495, 0.495, 0.416)
Fe (0.769, 0.769, 0.271)
Se (0.231, 0.231, 0.551)

***

*2*
## TlFe2Se (GGA-PBE)

Data for a relaxed structure of TlFe2Se.

Results
- D(E_F): 0.83 states/eV/atom
- SG: No. 10

Unit cell a=3.379 b=3.858 c=5.962 alpha=90.00 beta=95.94 gamma=90.00
Atoms (fractional coordinates):
Tl (0.000, 0.000, 0.000)
Fe (0.222, 0.500, 0.665)
Fe (0.778, 0.500, 0.335)
Se (0.500, 0.000, 0.500)

***

Which is the most stable structure? *1* is the most stable.

***

*1*
## TlFe3Se (GGA-PBE)

Data for a relaxed structure of TlFe3Se.

Results
- D(E_F): 2.26 states/eV/atom
- SG: No. 221

Unit cell a=4.922 b=4.922 c=4.922 alpha=90.00 beta=90.00 gamma=90.00
Atoms (fractional coordinates):
Tl (0.000, 0.000, 0.000)
Fe (0.000, 0.000, 0.500)
Fe (0.000, 0.500, 0.000)
Fe (0.500, 0.000, 0.000)
Se (0.500, 0.500, 0.500)

***

*2*
## TlFe3Se (GGA-PBE)

Data for a relaxed structure of TlFe3Se.

Results
- D(E_F): 0.41 states/eV/atom
- SG: No. 221

Unit cell a=4.490 b=4.490 c=4.490 alpha=90.00 beta=90.00 gamma=90.00
Atoms (fractional coordinates):
Tl (0.000, 0.000, 0.000)
Fe (0.000, 0.500, 0.500)
Fe (0.500, 0.000, 0.500)
Fe (0.500, 0.500, 0.000)
Se (0.500, 0.500, 0.500)

***

Which is the most stable structure? *2* is the most stable.